CaY4In PBE-GGA optimized geometry; energy = -4.933 eV per atom
1.0
0.000 4.610 4.610
4.610 0.000 4.610
4.610 4.610 0.000
Ca Y In
1 4 1
Cartesian
0.000 0.000 0.000
3.461 3.461 3.461
5.758 5.758 3.461
5.758 3.461 5.758
3.461 5.758 5.758
6.915 6.915 6.915